Entry from the Open Quantum Materials Database: a geometry-optimized LiGdGe structure (GGA-PBE).

Cell: 7.8132 7.8132 3.9828 Å, 90.00 90.00 120.00°
Closest atoms and distances in Å follow each position.
Space group P-62m (No. 189)
Inequivalent atoms, fractional coordinates:
Li 0.0000 0.6049 0.0000  5 Ge 3.09-3.12, 6 Gd 3.27-3.39
Gd 0.0000 0.2735 0.5000  4 Ge 2.87-2.92
Ge 0.0000 0.0000 0.0000  6 Gd 2.92, 3 Li 3.09
Ge 0.3333 0.6667 0.5000  3 Gd 2.87, 6 Li 3.12

Calculated values
Energy above the most stable polymorph in this dataset in meV/atom: 298

=====

Entry from the Open Quantum Materials Database: a geometry-optimized Ni2TeCSe structure (GGA-PBE).

Cell: 3.1836 3.1836 9.0536 Å, 90.00 90.00 120.00°
Closest atoms and distances in Å follow each position.
Space group P3m1 (No. 156)
Inequivalent atoms, fractional coordinates:
Ni 0.0000 0.0000 0.0000  3 C 2.06
Ni 0.3333 0.6667 0.1931  3 C 2.01
Te 0.0000 0.0000 0.4291  3 Ni 2.82
C 0.6667 0.3333 0.1033  6 Ni 2.01-2.06
Se 0.3333 0.6667 0.8137  3 Ni 2.49

Calculated values
E in eV/cell: -25.0

=====

Copy entry 2 word for word.
Entry from the Open Quantum Materials Database: a geometry-optimized Ni2TeCSe structure (GGA-PBE).

Cell: 3.1836 3.1836 9.0536 Å, 90.00 90.00 120.00°
Closest atoms and distances in Å follow each position.
Space group P3m1 (No. 156)
Inequivalent atoms, fractional coordinates:
Ni 0.0000 0.0000 0.0000  3 C 2.06
Ni 0.3333 0.6667 0.1931  3 C 2.01
Te 0.0000 0.0000 0.4291  3 Ni 2.82
C 0.6667 0.3333 0.1033  6 Ni 2.01-2.06
Se 0.3333 0.6667 0.8137  3 Ni 2.49

Calculated values
E in eV/cell: -25.0